PBE-GGA CaZrSi, optimized geometry; energy relative to the elements, uncorrected = -0.474 eV per atom; symmetry = I4/mmm, No. 139
1.0
4.2485 0.0000 0.0000
0.0000 4.2485 0.0000
0.0000 0.0000 15.9209
Ca Zr Si
4 4 4
direct
0.0000 0.0000 0.1773
0.0000 0.0000 0.8227
0.5000 0.5000 0.3227
0.5000 0.5000 0.6773
0.0000 0.5000 0.0000
0.0000 0.5000 0.5000
0.5000 0.0000 0.0000
0.5000 0.0000 0.5000
0.0000 0.0000 0.3780
0.0000 0.0000 0.6220
0.5000 0.5000 0.1220
0.5000 0.5000 0.8780

---

PBE-GGA FeOsSe2, optimized geometry; energy relative to the elements, uncorrected = 0.474 eV per atom; symmetry = Cmm2, No. 35; relative energy among the computed polymorphs = 489 meV per atom
1.0
2.9467 0.0000 0.0000
0.0000 5.0137 0.0000
0.0000 0.0000 9.8647
Fe Os Se
2 2 4
direct
0.0000 0.0000 0.0000
0.5000 0.5000 0.0000
0.0000 0.5000 0.2114
0.5000 0.0000 0.2114
0.0000 0.0000 0.4201
0.0000 0.5000 0.8009
0.5000 0.0000 0.8009
0.5000 0.5000 0.4201

---

PBE-GGA Rb2LiN, optimized geometry; energy relative to the elements, uncorrected = 0.256 eV per atom; symmetry = I-42d, No. 122
1.0
11.6558 0.0000 0.0000
0.0000 11.6558 0.0000
0.0000 0.0000 3.9339
Rb Li N
8 4 4
direct
0.0477 0.7500 0.1250
0.2500 0.0477 0.8750
0.2500 0.4523 0.3750
0.4523 0.7500 0.6250
0.5477 0.2500 0.6250
0.7500 0.5477 0.3750
0.7500 0.9523 0.8750
0.9523 0.2500 0.1250
0.0000 0.0000 0.5000
0.0000 0.5000 0.7500
0.5000 0.0000 0.2500
0.5000 0.5000 0.0000
0.0000 0.0000 0.0000
0.0000 0.5000 0.2500
0.5000 0.0000 0.7500
0.5000 0.5000 0.5000

---

PBE-GGA NiIrRuW, optimized geometry; symmetry = F-43m, No. 216; ΔE_f = 0.02 eV/atom
1.0
6.0857 0.0000 0.0000
0.0000 6.0857 0.0000
0.0000 0.0000 6.0857
Ni Ir Ru W
4 4 4 4
direct
0.0000 0.0000 0.0000
0.0000 0.5000 0.5000
0.5000 0.0000 0.5000
0.5000 0.5000 0.0000
0.2500 0.2500 0.2500
0.2500 0.7500 0.7500
0.7500 0.2500 0.7500
0.7500 0.7500 0.2500
0.2500 0.2500 0.7500
0.2500 0.7500 0.2500
0.7500 0.2500 0.2500
0.7500 0.7500 0.7500
0.0000 0.0000 0.5000
0.0000 0.5000 0.0000
0.5000 0.0000 0.0000
0.5000 0.5000 0.5000

---

N(E_F) list, top to bottom, in states/eV/atom: 0.744; 1.227; 0.374; 0.961